(1)
An optimized crystal structure of CaNiSbH2. Source: the Alexandria database, functional GGA-PBE.

V   13.9 Å³ per atom
Magnetization   0.0000 μB per atom
Electronic total energy   -82.5 eV/cell
Crystal system   orthorhombic

Cell and atoms, written as CIF:
```
data_CaNiSbH2
_symmetry_space_group_name_H-M 'C m c m'
_symmetry_Int_Tables_number 63
_symmetry_space_group_name_Hall '-C 2c 2'
_cell_length_a 4.001
_cell_length_b 10.943
_cell_length_c 6.353
_cell_angle_alpha 90.00
_cell_angle_beta 90.00
_cell_angle_gamma 90.00
loop_
_atom_site_label
_atom_site_type_symbol
_atom_site_fract_x
_atom_site_fract_y
_atom_site_fract_z
Ca1 Ca 0.000 0.207 0.250
Ni1 Ni 0.000 0.500 0.000
Sb1 Sb 0.000 0.071 0.750
H1 H 0.000 0.356 0.546
```



(2)
An optimized crystal structure of CaScNi2H8. Source: the Alexandria database, functional GGA-PBE.

V   8.9 Å³ per atom
Magnetization   0.0000 μB per atom
Electronic total energy   -146.4 eV/cell
Crystal system   trigonal

Cell and atoms, written as CIF:
```
data_CaScNi2H8
_symmetry_space_group_name_H-M 'R -3'
_symmetry_Int_Tables_number 148
_symmetry_space_group_name_Hall '-R 3'
_cell_length_a 4.6811
_cell_length_b 4.6811
_cell_length_c 16.9738
_cell_angle_alpha 90.00
_cell_angle_beta 90.00
_cell_angle_gamma 120.00
loop_
_atom_site_label
_atom_site_type_symbol
_atom_site_fract_x
_atom_site_fract_y
_atom_site_fract_z
Ca1 Ca 0.0000 0.0000 0.0000
Sc1 Sc 0.0000 0.0000 0.5000
Ni1 Ni 0.0000 0.0000 0.2260
H1 H 0.0000 0.0000 0.3147
H2 H 0.0235 0.3834 0.5615
```



(3)
An optimized crystal structure of CaSiNi2H. Source: the Alexandria database, functional GGA-PBE.

V   12.8 Å³ per atom
Magnetization   0.0000 μB per atom
Electronic total energy   -100.9 eV/cell
Crystal system   orthorhombic

Cell and atoms, written as CIF:
```
data_CaSiNi2H
_symmetry_space_group_name_H-M 'C m c m'
_symmetry_Int_Tables_number 63
_symmetry_space_group_name_Hall '-C 2c 2'
_cell_length_a 3.579
_cell_length_b 10.471
_cell_length_c 6.846
_cell_angle_alpha 90.00
_cell_angle_beta 90.00
_cell_angle_gamma 90.00
loop_
_atom_site_label
_atom_site_type_symbol
_atom_site_fract_x
_atom_site_fract_y
_atom_site_fract_z
Ca1 Ca 0.000 0.048 0.250
Si1 Si 0.000 0.228 0.750
Ni1 Ni 0.000 0.333 0.058
H1 H 0.000 0.500 0.000
```



(4)
An optimized crystal structure of CaNi2SnH8. Source: the Alexandria database, functional GGA-PBE.

V   8.9 Å³ per atom
Magnetization   0.0000 μB per atom
Electronic total energy   -130.8 eV/cell
Crystal system   trigonal

Cell and atoms, written as CIF:
```
data_CaNi2SnH8
_symmetry_space_group_name_H-M 'R -3'
_symmetry_Int_Tables_number 148
_symmetry_space_group_name_Hall '-R 3'
_cell_length_a 3.9969
_cell_length_b 3.9969
_cell_length_c 23.2314
_cell_angle_alpha 90.00
_cell_angle_beta 90.00
_cell_angle_gamma 120.00
loop_
_atom_site_label
_atom_site_type_symbol
_atom_site_fract_x
_atom_site_fract_y
_atom_site_fract_z
Ca1 Ca 0.0000 0.0000 0.0000
Ni1 Ni 0.0000 0.0000 0.2407
Sn1 Sn 0.0000 0.0000 0.5000
H1 H 0.0000 0.0000 0.3080
H2 H 0.0364 0.2891 0.0956
```



(5)
An optimized crystal structure of Ca2NiSnH. Source: the Alexandria database, functional GGA-PBE.

V   19.7 Å³ per atom
Magnetization   0.0150 μB per atom
Electronic total energy   -19.0 eV/cell
Crystal system   tetragonal

Cell and atoms, written as CIF:
```
data_Ca2NiSnH
_symmetry_space_group_name_H-M 'P 4/m m m'
_symmetry_Int_Tables_number 123
_symmetry_space_group_name_Hall '-P 4 2'
_cell_length_a 5.293
_cell_length_b 5.293
_cell_length_c 3.519
_cell_angle_alpha 90.00
_cell_angle_beta 90.00
_cell_angle_gamma 90.00
loop_
_atom_site_label
_atom_site_type_symbol
_atom_site_fract_x
_atom_site_fract_y
_atom_site_fract_z
Ca1 Ca 0.000 0.500 0.000
Ni1 Ni 0.000 0.000 0.500
Sn1 Sn 0.500 0.500 0.500
H1 H 0.000 0.000 0.000
```



(6)
An optimized crystal structure of Sr2CaNi3H12. Source: the Alexandria database, functional GGA-PBE.

V   9.5 Å³ per atom
Magnetization   0.0000 μB per atom
Electronic total energy   -205.0 eV/cell
Crystal system   trigonal

Cell and atoms, written as CIF:
```
data_Sr2CaNi3H12
_symmetry_space_group_name_H-M 'R -3 m'
_symmetry_Int_Tables_number 166
_symmetry_space_group_name_Hall '-R 3 2"'
_cell_length_a 6.3584
_cell_length_b 6.3584
_cell_length_c 14.6657
_cell_angle_alpha 90.00
_cell_angle_beta 90.00
_cell_angle_gamma 120.00
loop_
_atom_site_label
_atom_site_type_symbol
_atom_site_fract_x
_atom_site_fract_y
_atom_site_fract_z
Sr1 Sr 0.0000 0.0000 0.1112
Ca1 Ca 0.0000 0.0000 0.5000
Ni1 Ni 0.0000 0.5000 0.0000
H1 H 0.0347 0.5173 0.8931
H2 H 0.0790 0.5395 0.3205
```



(7)
An optimized crystal structure of Sr2CaNiH8. Source: the Alexandria database, functional GGA-PBE.

V   12.4 Å³ per atom
Magnetization   0.0000 μB per atom
Electronic total energy   -41.5 eV/cell
Crystal system   trigonal

Cell and atoms, written as CIF:
```
data_Sr2CaNiH8
_symmetry_space_group_name_H-M 'P -3 m 1'
_symmetry_Int_Tables_number 164
_symmetry_space_group_name_Hall '-P 3 2"'
_cell_length_a 4.9940
_cell_length_b 4.9940
_cell_length_c 6.8616
_cell_angle_alpha 90.00
_cell_angle_beta 90.00
_cell_angle_gamma 120.00
loop_
_atom_site_label
_atom_site_type_symbol
_atom_site_fract_x
_atom_site_fract_y
_atom_site_fract_z
Sr1 Sr 0.3333 0.6667 0.3355
Ca1 Ca 0.0000 0.0000 0.0000
Ni1 Ni 0.0000 0.0000 0.5000
H1 H 0.1535 0.3069 0.6401
H2 H 0.3333 0.6667 0.9920
```



(8)
An optimized crystal structure of Sr2CaNiH6. Source: the Alexandria database, functional GGA-PBE.

V   14.6 Å³ per atom
Magnetization   0.0633 μB per atom
Electronic total energy   -34.7 eV/cell
Crystal system   trigonal

Cell and atoms, written as CIF:
```
data_Sr2CaNiH6
_symmetry_space_group_name_H-M 'P -3 m 1'
_symmetry_Int_Tables_number 164
_symmetry_space_group_name_Hall '-P 3 2"'
_cell_length_a 5.3564
_cell_length_b 5.3564
_cell_length_c 5.8673
_cell_angle_alpha 90.00
_cell_angle_beta 90.00
_cell_angle_gamma 120.00
loop_
_atom_site_label
_atom_site_type_symbol
_atom_site_fract_x
_atom_site_fract_y
_atom_site_fract_z
Sr1 Sr 0.3333 0.6667 0.1489
Ca1 Ca 0.0000 0.0000 0.5000
Ni1 Ni 0.0000 0.0000 0.0000
H1 H 0.1481 0.2962 0.8277
```



Copy entry 7 word for word.
An optimized crystal structure of Sr2CaNiH8. Source: the Alexandria database, functional GGA-PBE.

V   12.4 Å³ per atom
Magnetization   0.0000 μB per atom
Electronic total energy   -41.5 eV/cell
Crystal system   trigonal

Cell and atoms, written as CIF:
```
data_Sr2CaNiH8
_symmetry_space_group_name_H-M 'P -3 m 1'
_symmetry_Int_Tables_number 164
_symmetry_space_group_name_Hall '-P 3 2"'
_cell_length_a 4.9940
_cell_length_b 4.9940
_cell_length_c 6.8616
_cell_angle_alpha 90.00
_cell_angle_beta 90.00
_cell_angle_gamma 120.00
loop_
_atom_site_label
_atom_site_type_symbol
_atom_site_fract_x
_atom_site_fract_y
_atom_site_fract_z
Sr1 Sr 0.3333 0.6667 0.3355
Ca1 Ca 0.0000 0.0000 0.0000
Ni1 Ni 0.0000 0.0000 0.5000
H1 H 0.1535 0.3069 0.6401
H2 H 0.3333 0.6667 0.9920
```



- Which formula does entry 6 have?
  Sr2CaNi3H12